Entry 1:
First-principles (PBE) data for Gd2PaAl after structural relaxation, as listed in Alexandria via LeMat-Bulk.

Computed properties:
D(E_F) = 6.01 states/eV/f.u.
DFT formation energy = 0.05 eV per formula unit
E = -10.338 eV/atom
Magnetization = 3.503 μB/atom
Excess energy over the best structure of this formula in the dataset = 68 meV per atom
Calculated volume = 102.48 Å³/f.u.

Unit cell a=4.564 b=4.739 c=4.739 alpha=90.00 beta=90.00 gamma=90.00
Positions (direct):
1 Gd 0.000 0.000 0.500
2 Al 0.500 0.500 0.500
3 Gd 0.000 0.500 0.000
4 Pa 0.500 0.000 0.000

***

Entry 2:
First-principles (PBE) data for EuLuAlZn after structural relaxation, as listed in Alexandria via LeMat-Bulk.

Computed properties:
D(E_F) = 4.03 states/eV/f.u.
DFT formation energy = -1.07 eV per formula unit
E = -5.221 eV/atom
Magnetization = 1.794 μB/atom
Calculated volume = 96.59 Å³/f.u.

Unit cell a=5.150 b=5.150 c=5.150 alpha=60.00 beta=60.00 gamma=60.00
Positions (direct):
1 Eu 0.750 0.750 0.750
2 Zn 0.000 0.000 0.000
3 Al 0.500 0.500 0.500
4 Lu 0.250 0.250 0.250

***

Entry 3:
First-principles (PBE) data for TaTlZn2 after structural relaxation, as listed in Alexandria via LeMat-Bulk.

Computed properties:
D(E_F) = 2.09 states/eV/f.u.
DFT formation energy = 1.21 eV per formula unit
E = -3.888 eV/atom
Magnetization = 0.000 μB/atom
Excess energy over the best structure of this formula in the dataset = 97 meV per atom
Calculated volume = 74.90 Å³/f.u.

Unit cell a=4.076 b=3.054 c=6.722 alpha=63.53 beta=90.00 gamma=90.00
Positions (direct):
1 Zn 0.000 0.957 0.041
2 Tl 0.500 0.750 0.750
3 Ta 0.500 0.250 0.250
4 Zn 0.000 0.543 0.459

***

Entry 4:
First-principles (PBE) data for Li2CeSnS4 after structural relaxation, as listed in Alexandria via LeMat-Bulk.

Computed properties:
D(E_F) = 3.99 states/eV/f.u.
E = -5.036 eV/atom
Magnetization = 0.030 μB/atom
Calculated volume = 171.49 Å³/f.u.

Unit cell a=3.983 b=6.526 c=7.058 alpha=69.22 beta=90.00 gamma=90.00
Positions (direct):
1 Ce 0.000 0.500 0.500
2 S 0.500 0.754 0.252
3 S 0.500 0.246 0.748
4 S 0.000 0.754 0.733
5 Sn 0.500 0.500 0.000
6 Li 0.500 0.000 0.500
7 S 0.000 0.246 0.267
8 Li 0.000 0.000 0.000

***

Entry 5:
First-principles (PBE) data for TaTcMo2 after structural relaxation, as listed in Alexandria via LeMat-Bulk.

Computed properties:
D(E_F) = 2.29 states/eV/f.u.
DFT formation energy = -0.29 eV per formula unit
E = -11.043 eV/atom
Magnetization = 0.000 μB/atom
Excess energy over the best structure of this formula in the dataset = 105 meV per atom
Calculated volume = 64.13 Å³/f.u.

Unit cell a=4.493 b=4.493 c=4.493 alpha=60.00 beta=60.00 gamma=60.00
Positions (direct):
1 Mo 0.750 0.750 0.750
2 Ta 0.500 0.500 0.500
3 Mo 0.250 0.250 0.250
4 Tc 0.000 0.000 0.000

***

Entry 6:
First-principles (PBE) data for BaCoRe3 after structural relaxation, as listed in Alexandria via LeMat-Bulk.

Computed properties:
D(E_F) = 14.25 states/eV/f.u.
DFT formation energy = 21.66 eV per formula unit
E = -4.943 eV/atom
Magnetization = 0.000 μB/atom
Excess energy over the best structure of this formula in the dataset = 2640 meV per atom
Calculated volume = 117.91 Å³/f.u.

Unit cell a=4.904 b=4.904 c=4.904 alpha=90.00 beta=90.00 gamma=90.00
Positions (direct):
1 Re 0.000 0.500 0.000
2 Ba 0.000 0.000 0.000
3 Re 0.500 0.000 0.000
4 Co 0.500 0.500 0.500
5 Re 0.000 0.000 0.500

***

Entry 7:
First-principles (PBE) data for Cu2AgPS4 after structural relaxation, as listed in Alexandria via LeMat-Bulk.

Computed properties:
E = -4.361 eV/atom
Magnetization = 0.000 μB/atom
Excess energy over the best structure of this formula in the dataset = 0 meV per atom
Calculated volume = 151.28 Å³/f.u.

Unit cell a=6.224 b=6.328 c=7.682 alpha=90.00 beta=90.00 gamma=90.00
Positions (direct):
1 Cu 0.509 0.819 0.251
2 Cu 0.009 0.181 0.751
3 Cu 0.009 0.181 0.249
4 S 0.376 0.162 0.721
5 S 0.415 0.634 0.500
6 S 0.376 0.162 0.279
7 Cu 0.509 0.819 0.749
8 P 0.500 0.313 0.500
9 P 0.000 0.687 0.000
10 S 0.835 0.279 0.500
11 S 0.915 0.366 0.000
12 Ag 0.009 0.646 0.500
13 S 0.335 0.721 0.000
14 S 0.876 0.838 0.221
15 S 0.876 0.838 0.779
16 Ag 0.509 0.354 0.000

***

Entry 8:
First-principles (PBE) data for NbReIr2Pb after structural relaxation, as listed in Alexandria via LeMat-Bulk.

Computed properties:
D(E_F) = 5.73 states/eV/f.u.
DFT formation energy = 8.13 eV per formula unit
E = -7.164 eV/atom
Magnetization = 0.402 μB/atom
Calculated volume = 115.29 Å³/f.u.

Unit cell a=4.751 b=5.107 c=4.751 alpha=90.00 beta=90.00 gamma=90.00
Positions (direct):
1 Pb 0.000 0.500 0.000
2 Nb 0.500 0.500 0.500
3 Re 0.000 0.000 0.000
4 Ir 0.000 0.000 0.500
5 Ir 0.500 0.000 0.000

***

Entry 9:
First-principles (PBE) data for ReNiRu after structural relaxation, as listed in Alexandria via LeMat-Bulk.

Computed properties:
D(E_F) = 2.73 states/eV/f.u.
DFT formation energy = -0.02 eV per formula unit
E = -9.177 eV/atom
Magnetization = 0.000 μB/atom
Excess energy over the best structure of this formula in the dataset = 4 meV per atom
Calculated volume = 40.33 Å³/f.u.

Unit cell a=2.735 b=4.273 c=7.037 alpha=90.00 beta=101.20 gamma=90.00
Positions (direct):
1 Re 0.557 0.750 0.114
2 Ni 0.774 0.250 0.548
3 Ru 0.885 0.750 0.771
4 Ru 0.115 0.250 0.229
5 Ni 0.226 0.750 0.452
6 Re 0.443 0.250 0.886

***

Entry 10:
First-principles (PBE) data for Na2TaHgF6 after structural relaxation, as listed in Alexandria via LeMat-Bulk.

Computed properties:
D(E_F) = 6.80 states/eV/f.u.
E = -4.953 eV/atom
Magnetization = 0.039 μB/atom
Calculated volume = 248.45 Å³/f.u.

Unit cell a=7.056 b=7.056 c=7.056 alpha=60.00 beta=60.00 gamma=60.00
Positions (direct):
1 F 0.195 0.195 0.805
2 F 0.195 0.805 0.195
3 F 0.805 0.195 0.805
4 Na 0.750 0.750 0.750
5 F 0.805 0.805 0.195
6 Hg 0.500 0.500 0.500
7 Na 0.250 0.250 0.250
8 Ta 0.000 0.000 0.000
9 F 0.195 0.805 0.805
10 F 0.805 0.195 0.195

***

Entry 11:
First-principles (PBE) data for MgSb4O8 after structural relaxation, as listed in Alexandria via LeMat-Bulk.

Computed properties:
D(E_F) = 0.00 states/eV/f.u.
E = -5.851 eV/atom
Magnetization = 0.000 μB/atom
Excess energy over the best structure of this formula in the dataset = 69 meV per atom
Calculated volume = 203.51 Å³/f.u.

Unit cell a=3.245 b=7.927 c=8.748 alpha=112.65 beta=100.49 gamma=90.23
Positions (direct):
1 Sb 0.586 0.493 0.719
2 Sb 0.877 0.119 0.304
3 Sb 0.023 0.853 0.583
4 O 0.212 0.306 0.957
5 Mg 0.717 0.149 0.968
6 O 0.063 0.628 0.669
7 Sb 0.325 0.504 0.185
8 O 0.608 0.931 0.755
9 O 0.445 0.665 0.428
10 O 0.805 0.632 0.142
11 O 0.847 0.352 0.234
12 O 0.289 0.058 0.127
13 O 0.474 0.287 0.498

***

Entry 12:
First-principles (PBE) data for Al2CdSe after structural relaxation, as listed in Alexandria via LeMat-Bulk.

Computed properties:
D(E_F) = 0.90 states/eV/f.u.
E = -3.084 eV/atom
Magnetization = 0.000 μB/atom
Excess energy over the best structure of this formula in the dataset = 19 meV per atom
Calculated volume = 83.55 Å³/f.u.

Unit cell a=7.726 b=7.726 c=7.726 alpha=26.95 beta=26.95 gamma=26.95
Positions (direct):
1 Cd 0.250 0.250 0.250
2 Se 0.750 0.750 0.750
3 Al 0.494 0.494 0.494
4 Al 0.006 0.006 0.006